No. 1
Here is an optimized crystal structure of TaTi2B2 from the Alexandria database. Energies are from PBE.

a b c (Å): 6.135 6.135 3.224
angles (deg): 90.00 90.00 90.00
Atoms (fractional coordinates):
B (0.396, 0.896, 0.000)
B (0.896, 0.604, 0.000)
B (0.604, 0.104, 0.000)
B (0.104, 0.396, 0.000)
Ti (0.179, 0.679, 0.500)
Ti (0.679, 0.821, 0.500)
Ti (0.821, 0.321, 0.500)
Ti (0.321, 0.179, 0.500)
Ta (0.000, 0.000, 0.000)
Ta (0.500, 0.500, 0.000)

Polymorph energy (0 for the lowest one) ... 0.00 eV/f.u.
Energy of formation ... -2.82 eV/f.u.

***

No. 2
Here is an optimized crystal structure of TaTi4B4 from the Alexandria database. Energies are from PBE.

a b c (Å): 4.504 7.075 7.075
angles (deg): 90.00 90.00 90.00
Atoms (fractional coordinates):
Ta (0.000, 0.000, 0.000)
Ta (0.500, 0.500, 0.500)
Ti (0.379, 0.314, 0.922)
Ti (0.879, 0.578, 0.814)
Ti (0.379, 0.686, 0.078)
Ti (0.121, 0.186, 0.578)
Ti (0.621, 0.922, 0.686)
Ti (0.121, 0.814, 0.422)
Ti (0.879, 0.422, 0.186)
Ti (0.621, 0.078, 0.314)
B (0.635, 0.763, 0.348)
B (0.635, 0.237, 0.652)
B (0.135, 0.848, 0.737)
B (0.865, 0.263, 0.848)
B (0.865, 0.737, 0.152)
B (0.365, 0.348, 0.237)
B (0.365, 0.652, 0.763)
B (0.135, 0.152, 0.263)

Energy of formation ... -2.85 eV/f.u.

***

No. 3
Here is an optimized crystal structure of Ta3TiB4 from the Alexandria database. Energies are from PBE.

a b c (Å): 3.135 3.282 8.697
angles (deg): 90.00 90.00 90.00
Atoms (fractional coordinates):
Ta (0.000, 0.500, 0.645)
Ta (0.500, 0.500, 0.350)
Ta (0.500, 0.000, 0.857)
Ti (0.000, 0.000, 0.145)
B (0.000, 0.000, 0.438)
B (0.000, 0.500, 0.945)
B (0.500, 0.500, 0.061)
B (0.500, 0.000, 0.557)

Polymorph energy (0 for the lowest one) ... 0.00 eV/f.u.
Energy of formation ... -6.73 eV/f.u.

***

No. 4
Here is an optimized crystal structure of TaTi2VB from the Alexandria database. Energies are from PBE.

a b c (Å): 4.434 4.054 4.434
angles (deg): 90.00 90.00 90.00
Atoms (fractional coordinates):
B (0.000, 0.500, 0.000)
V (0.000, 0.000, 0.000)
Ti (0.000, 0.000, 0.500)
Ti (0.500, 0.000, 0.000)
Ta (0.500, 0.500, 0.500)

Energy of formation ... 4.74 eV/f.u.

***

No. 5
Here is an optimized crystal structure of ZrTaTi2B from the Alexandria database. Energies are from PBE.

a b c (Å): 4.686 5.191 4.686
angles (deg): 90.00 90.00 90.00
Atoms (fractional coordinates):
B (0.500, 0.500, 0.500)
Ti (0.000, 0.000, 0.500)
Ti (0.500, 0.000, 0.000)
Zr (0.000, 0.500, 0.000)
Ta (0.000, 0.000, 0.000)

Energy of formation ... 9.06 eV/f.u.

***

No. 6
Here is an optimized crystal structure of Ta3TlB from the Alexandria database. Energies are from PBE.

a b c (Å): 4.414 4.414 4.414
angles (deg): 90.00 90.00 90.00
Atoms (fractional coordinates):
Tl (0.500, 0.500, 0.500)
B (0.000, 0.000, 0.000)
Ta (0.000, 0.500, 0.000)
Ta (0.000, 0.000, 0.500)
Ta (0.500, 0.000, 0.000)

Polymorph energy (0 for the lowest one) ... 0.00 eV/f.u.
Energy of formation ... 0.85 eV/f.u.

***

No. 7
Here is an optimized crystal structure of Ta3TlB from the Alexandria database. Energies are from PBE.

a b c (Å): 5.057 5.057 5.057
angles (deg): 90.00 90.00 90.00
Atoms (fractional coordinates):
Tl (0.000, 0.000, 0.000)
B (0.500, 0.500, 0.500)
Ta (0.000, 0.500, 0.000)
Ta (0.000, 0.000, 0.500)
Ta (0.500, 0.000, 0.000)

Polymorph energy (0 for the lowest one) ... 15.52 eV/f.u.
Energy of formation ... 16.37 eV/f.u.

***

No. 8
Here is an optimized crystal structure of TaTl2B from the Alexandria database. Energies are from PBE.

a b c (Å): 4.899 4.899 4.899
angles (deg): 60.00 60.00 60.00
Atoms (fractional coordinates):
Tl (0.250, 0.250, 0.250)
Tl (0.750, 0.750, 0.750)
B (0.000, 0.000, 0.000)
Ta (0.500, 0.500, 0.500)

Polymorph energy (0 for the lowest one) ... 2.42 eV/f.u.
Energy of formation ... 6.70 eV/f.u.

***

| no. | total magnetization (μB per atom) | DOS at the Fermi energy (states/eV per atom) |
| --- | --- | --- |
| 1 | 0.000 | 0.7437 |
| 2 | 0.000 | 0.8369 |
| 3 | 0.000 | 0.2887 |
| 4 | 0.000 | 0.9291 |
| 5 | 0.097 | 1.4856 |
| 6 | 0.000 | 1.2313 |
| 7 | 0.000 | 1.6156 |
| 8 | 0.479 | 0.5465 |